DFT (PBE-GGA) results for an optimized crystal structure of PmY6Tm2Th.

abc: 8.8199 8.8199 9.3890
angles: 92.92 92.92 116.07
Fractional positions:
Pm 0.0886 0.9114 0.7500
Pm 0.9114 0.0886 0.2500
Y 0.0198 0.7920 0.3899
Y 0.0685 0.5121 0.1834
Y 0.2080 0.9802 0.1101
Y 0.2666 0.6139 0.5588
Y 0.3861 0.7334 0.9412
Y 0.4879 0.9315 0.3166
Y 0.5121 0.0685 0.6834
Y 0.6139 0.2666 0.0588
Y 0.7334 0.3861 0.4412
Y 0.7920 0.0198 0.8899
Y 0.9315 0.4879 0.8166
Y 0.9802 0.2080 0.6101
Tm 0.2009 0.3019 0.9445
Tm 0.3019 0.2009 0.4445
Tm 0.6981 0.7991 0.5555
Tm 0.7991 0.6981 0.0555
Th 0.4657 0.5343 0.2500
Th 0.5343 0.4657 0.7500

For the energy, the calculation gives -5.84 eV per atom. Its density of states at the Fermi level is 30.9 states/eV per cell. The formation energy comes out at 3.4 kcal/mol of atoms. As for the space group: C2/c (15).


DFT (PBE-GGA) results for an optimized crystal structure of PmTmThZn.

abc: 5.3922 5.3922 5.3922
angles: 60.00 60.00 60.00
Fractional positions:
Pm 0.0000 0.0000 0.0000
Tm 0.2500 0.2500 0.2500
Th 0.5000 0.5000 0.5000
Zn 0.7500 0.7500 0.7500

For the energy, the calculation gives -4.41 eV per atom. Its density of states at the Fermi level is 7.1 states/eV per cell. The formation energy comes out at 1.7 kcal/mol of atoms. As for the space group: F-43m (216).


DFT (PBE-GGA) results for an optimized crystal structure of PmTmThZr.

abc: 5.4928 5.4928 5.4928
angles: 60.00 60.00 60.00
Fractional positions:
Pm 0.0000 0.0000 0.0000
Tm 0.7500 0.7500 0.7500
Th 0.5000 0.5000 0.5000
Zr 0.2500 0.2500 0.2500

For the energy, the calculation gives -6.14 eV per atom. Its density of states at the Fermi level is 5.9 states/eV per cell. The formation energy comes out at 3.6 kcal/mol of atoms. As for the space group: F-43m (216).


DFT (PBE-GGA) results for an optimized crystal structure of Pm2ThV.

abc: 11.7112 11.7112 11.7112
angles: 16.97 16.97 16.97
Fractional positions:
Pm 0.0825 0.0825 0.0825
Pm 0.9175 0.9175 0.9175
Th 0.5000 0.5000 0.5000
V 0.0000 0.0000 0.0000

For the energy, the calculation gives -5.89 eV per atom. Its density of states at the Fermi level is 4.5 states/eV per cell. The formation energy comes out at 14.3 kcal/mol of atoms. As for the space group: R-3m (166).


DFT (PBE-GGA) results for an optimized crystal structure of PmThW4.

abc: 5.6159 5.6159 5.6159
angles: 60.00 60.00 60.00
Fractional positions:
Pm 0.0000 0.0000 0.0000
Th 0.2500 0.2500 0.2500
W 0.1259 0.6247 0.6247
W 0.6247 0.1259 0.6247
W 0.6247 0.6247 0.1259
W 0.6247 0.6247 0.6247

For the energy, the calculation gives -10.45 eV per atom. Its density of states at the Fermi level is 8.2 states/eV per cell. The formation energy comes out at 4.9 kcal/mol of atoms. As for the space group: F-43m (216).


DFT (PBE-GGA) results for an optimized crystal structure of PmY2Th.

abc: 11.6951 3.5995 3.5995
angles: 60.03 90.00 90.00
Fractional positions:
Pm 0.0000 0.0000 0.0000
Y 0.2522 0.3340 0.3340
Y 0.7478 0.3340 0.3340
Th 0.5000 0.6685 0.6685

For the energy, the calculation gives -6.23 eV per atom. As for the polymorph energy (0 for the lowest one): 50 meV/atom. Its density of states at the Fermi level is 5.7 states/eV per cell. The formation energy comes out at 1.1 kcal/mol of atoms. As for the space group: Amm2 (38).


DFT (PBE-GGA) results for an optimized crystal structure of PmY2Th6.

abc: 6.8236 6.8236 9.2643
angles: 120.21 120.21 62.32
Fractional positions:
Pm 0.0000 0.0000 0.0000
Y 0.2938 0.2938 0.8802
Y 0.7062 0.7062 0.1198
Th 0.1625 0.6858 0.6471
Th 0.3142 0.8375 0.3529
Th 0.3280 0.3280 0.2987
Th 0.6720 0.6720 0.7013
Th 0.6858 0.1625 0.6471
Th 0.8375 0.3142 0.3529

For the energy, the calculation gives -6.63 eV per atom. Its density of states at the Fermi level is 11.7 states/eV per cell. The formation energy comes out at 6.5 kcal/mol of atoms. As for the space group: C2/m (12).


DFT (PBE-GGA) results for an optimized crystal structure of Pm12Y2Th.

abc: 6.5325 6.5325 25.3356
angles: 90.00 90.00 90.00
Fractional positions:
Pm 0.0618 0.5618 0.1119
Pm 0.0618 0.9382 0.8881
Pm 0.0820 0.5820 0.4375
Pm 0.0820 0.9180 0.5625
Pm 0.2500 0.2500 0.2142
Pm 0.2500 0.2500 0.3372
Pm 0.2500 0.2500 0.6628
Pm 0.2500 0.2500 0.7858
Pm 0.4180 0.5820 0.5625
Pm 0.4180 0.9180 0.4375
Pm 0.4382 0.5618 0.8881
Pm 0.4382 0.9382 0.1119
Pm 0.5618 0.0618 0.8881
Pm 0.5618 0.4382 0.1119
Pm 0.5820 0.0820 0.5625
Pm 0.5820 0.4180 0.4375
Pm 0.7500 0.7500 0.2142
Pm 0.7500 0.7500 0.3372
Pm 0.7500 0.7500 0.6628
Pm 0.7500 0.7500 0.7858
Pm 0.9180 0.0820 0.4375
Pm 0.9180 0.4180 0.5625
Pm 0.9382 0.0618 0.1119
Pm 0.9382 0.4382 0.8881
Y 0.2500 0.7500 0.2734
Y 0.2500 0.7500 0.7266
Y 0.7500 0.2500 0.2734
Y 0.7500 0.2500 0.7266
Th 0.2500 0.7500 0.0000
Th 0.7500 0.2500 0.0000

For the energy, the calculation gives -4.82 eV per atom. Its density of states at the Fermi level is 35.8 states/eV per cell. The formation energy comes out at 7.7 kcal/mol of atoms. As for the space group: P4/nbm (125).


DFT (PBE-GGA) results for an optimized crystal structure of Pm3Y12Th.

abc: 5.0761 5.0761 20.3076
angles: 90.00 90.00 90.00
Fractional positions:
Pm 0.0000 0.0000 0.0000
Pm 0.0000 0.0000 0.2509
Pm 0.0000 0.0000 0.7491
Y 0.0000 0.5000 0.1256
Y 0.0000 0.5000 0.3776
Y 0.0000 0.5000 0.6224
Y 0.0000 0.5000 0.8744
Y 0.5000 0.0000 0.1256
Y 0.5000 0.0000 0.3776
Y 0.5000 0.0000 0.6224
Y 0.5000 0.0000 0.8744
Y 0.5000 0.5000 0.0000
Y 0.5000 0.5000 0.2503
Y 0.5000 0.5000 0.5000
Y 0.5000 0.5000 0.7497
Th 0.0000 0.0000 0.5000

For the energy, the calculation gives -6.18 eV per atom. Its density of states at the Fermi level is 24.8 states/eV per cell. The formation energy comes out at 0.6 kcal/mol of atoms. As for the space group: P4/mmm (123).


DFT (PBE-GGA) results for an optimized crystal structure of Pm6Y8Th.

abc: 8.2165 8.2165 8.2165
angles: 73.87 73.87 73.87
Fractional positions:
Pm 0.1146 0.5778 0.7821
Pm 0.2179 0.8854 0.4222
Pm 0.4222 0.2179 0.8854
Pm 0.5778 0.7821 0.1146
Pm 0.7821 0.1146 0.5778
Pm 0.8854 0.4222 0.2179
Y 0.0866 0.0866 0.0866
Y 0.1502 0.2705 0.5737
Y 0.2705 0.5737 0.1502
Y 0.4263 0.8498 0.7295
Y 0.5737 0.1502 0.2705
Y 0.7295 0.4263 0.8498
Y 0.8498 0.7295 0.4263
Y 0.9134 0.9134 0.9134
Th 0.5000 0.5000 0.5000

For the energy, the calculation gives -5.67 eV per atom. As for the polymorph energy (0 for the lowest one): 59 meV/atom. Its density of states at the Fermi level is 18.5 states/eV per cell. The formation energy comes out at 4.1 kcal/mol of atoms. As for the space group: R-3 (148).


DFT (PBE-GGA) results for an optimized crystal structure of Pm5Y6Th.

abc: 6.2611 6.2611 11.8598
angles: 95.04 95.04 119.99
Fractional positions:
Pm 0.0000 0.0000 0.0000
Pm 0.1667 0.8333 0.5000
Pm 0.3329 0.6671 0.0000
Pm 0.6671 0.3329 0.0000
Pm 0.8333 0.1667 0.5000
Y 0.0881 0.4177 0.2517
Y 0.2529 0.2529 0.7481
Y 0.4177 0.0881 0.2517
Y 0.5823 0.9119 0.7483
Y 0.7471 0.7471 0.2519
Y 0.9119 0.5823 0.7483
Th 0.5000 0.5000 0.5000

For the energy, the calculation gives -5.81 eV per atom. Its density of states at the Fermi level is 15.3 states/eV per cell. The formation energy comes out at 0.5 kcal/mol of atoms. As for the space group: C2/m (12).


DFT (PBE-GGA) results for an optimized crystal structure of PmY2Th.

abc: 11.7787 11.7787 11.7787
angles: 17.64 17.64 17.64
Fractional positions:
Pm 0.0000 0.0000 0.0000
Y 0.2482 0.2482 0.2482
Y 0.4195 0.4195 0.4195
Th 0.8340 0.8340 0.8340

For the energy, the calculation gives -6.26 eV per atom. As for the polymorph energy (0 for the lowest one): 15 meV/atom. Its density of states at the Fermi level is 6.3 states/eV per cell. The formation energy comes out at 0.3 kcal/mol of atoms. As for the space group: R3m (160).